Crystalline Rb2NpBiS4 at its relaxed geometry. Source: Alexandria via LeMat-Bulk, functional GGA-PBE.

Cell: 4.1889 7.2623 8.0403 Å, 107.49 90.00 90.00°
Last column: magnetic moment on the atom in μB.
Sites, in units of the cell vectors:
Rb: 0.5000 0.0000 0.5000  0.00
Rb: 0.0000 0.5000 0.5000  0.00
Np: 0.5000 0.5000 0.0000  3.88
Bi: 0.0000 0.0000 0.0000  0.05
S: 0.5000 0.2387 0.1982  -0.02
S: 0.5000 0.7613 0.8018  -0.02
S: 0.0000 0.2770 0.8066  -0.05
S: 0.0000 0.7230 0.1934  -0.05

Results
formation energy from raw total energies	-1058.4	meV/atom
space-group type	P2/m, No. 10


Crystalline YCo2HOs at its relaxed geometry. Source: Alexandria via LeMat-Bulk, functional GGA-PBE.

Cell: 4.8139 5.0019 4.8139 Å, 90.00 90.00 90.00°
Last column: magnetic moment on the atom in μB.
Sites, in units of the cell vectors:
Y: 0.0000 0.0000 0.0000  -0.29
Co: 0.0000 0.0000 0.5000  1.53
Co: 0.5000 0.0000 0.0000  1.21
Os: 0.0000 0.5000 0.0000  1.45
H: 0.5000 0.5000 0.5000  0.13

Results
space-group type	P4/mmm, No. 123


Crystalline YPaPN2 at its relaxed geometry. Source: Alexandria via LeMat-Bulk, functional GGA-PBE.

Cell: 3.8622 3.8622 6.6767 Å, 106.81 106.81 90.00°
Sites, in units of the cell vectors:
Y: 0.8457 0.8457 0.6914
Pa: 0.1612 0.1612 0.3224
P: 0.5056 0.5056 0.0112
N: 0.7437 0.2437 0.4875
N: 0.2437 0.7437 0.4875

Results
formation energy from raw total energies	-1314.9	meV/atom
space-group type	I4mm, No. 107


Crystalline PmSCl at its relaxed geometry. Source: Alexandria via LeMat-Bulk, functional GGA-PBE.

Cell: 7.0343 7.0343 8.0100 Å, 109.49 109.49 103.89°
Sites, in units of the cell vectors:
Pm: 0.0672 0.4538 0.9575
Pm: 0.7038 0.8172 0.4575
Pm: 0.4963 0.1097 0.0425
Pm: 0.3597 0.2463 0.5425
S: 0.3582 0.4044 0.2580
S: 0.6544 0.1082 0.7580
S: 0.3502 0.8964 0.2420
S: 0.1464 0.1002 0.7420
Cl: 0.8514 0.5262 0.2234
Cl: 0.8780 0.0528 0.2766
Cl: 0.7762 0.6014 0.7234
Cl: 0.3028 0.6280 0.7766

Results
ΔE to the lowest computed polymorph	0.00	eV per formula unit
formation energy from raw total energies	-2177.1	meV/atom
space-group type	Fdd2, No. 43


Crystalline Cs3Nd2DyO6 at its relaxed geometry. Source: Alexandria via LeMat-Bulk, functional GGA-PBE.

Cell: 6.3354 6.3354 7.2470 Å, 98.37 98.37 120.00°
Sites, in units of the cell vectors:
Cs: 0.1659 0.8341 0.5000
Cs: 0.8341 0.1659 0.5000
Cs: 0.5000 0.5000 0.5000
Nd: 0.3333 0.6667 0.0000
Nd: 0.6667 0.3333 0.0000
Dy: 0.0000 0.0000 0.0000
O: 0.9441 0.6209 0.8324
O: 0.7327 0.7327 0.1682
O: 0.0559 0.3791 0.1676
O: 0.6209 0.9441 0.8324
O: 0.2673 0.2673 0.8318
O: 0.3791 0.0559 0.1676

Results
formation energy from raw total energies	-2542.3	meV/atom
space-group type	C2/m, No. 12


Crystalline Ce2DyZn2Sn2 at its relaxed geometry. Source: Alexandria via LeMat-Bulk, functional GGA-PBE.

Cell: 4.5336 4.5336 9.7226 Å, 76.52 76.52 60.00°
Last column: magnetic moment on the atom in μB.
Sites, in units of the cell vectors:
Ce: 0.1423 0.1423 0.5731  0.90
Ce: 0.8577 0.8577 0.4269  0.90
Dy: 0.0000 0.0000 0.0000  0.02
Zn: 0.5817 0.5817 0.2550  0.00
Zn: 0.4183 0.4183 0.7450  0.00
Sn: 0.7304 0.7304 0.8087  0.00
Sn: 0.2696 0.2696 0.1913  0.00

Results
space-group type	R-3m, No. 166
DFT formation energy	-331	meV per atom


Crystalline CaSc2Os at its relaxed geometry. Source: Alexandria via LeMat-Bulk, functional GGA-PBE.

Cell: 5.7242 5.6043 3.1021 Å, 78.46 81.36 117.98°
Sites, in units of the cell vectors:
Sc: 0.0000 0.0000 0.0000
Sc: 0.5000 0.0000 0.5000
Ca: 0.0000 0.5000 0.5000
Os: 0.5000 0.5000 0.0000

Results
ΔE to the lowest computed polymorph	2.16	eV per formula unit
space-group type	C2/m, No. 12
DFT formation energy	316	meV per atom


Crystalline Ti5B2Se at its relaxed geometry. Source: Alexandria via LeMat-Bulk, functional GGA-PBE.

Cell: 6.0941 6.0941 7.2013 Å, 115.03 115.03 90.00°
Sites, in units of the cell vectors:
Ti: 0.5387 0.6950 0.7337
Ti: 0.8050 0.9613 0.2663
Ti: 0.0000 0.0000 0.0000
Ti: 0.5000 0.5000 0.0000
Ti: 0.1950 0.0387 0.7337
Ti: 0.6950 0.1950 0.7337
Ti: 0.0387 0.5387 0.7337
Ti: 0.3050 0.8050 0.2663
Ti: 0.9613 0.4613 0.2663
Ti: 0.4613 0.3050 0.2663
B: 0.1106 0.3894 0.0000
B: 0.6106 0.1106 0.0000
B: 0.3894 0.8894 0.0000
B: 0.8894 0.6106 0.0000
Se: 0.7500 0.7500 0.5000
Se: 0.2500 0.2500 0.5000

Results
formation energy from raw total energies	-709.4	meV/atom
space-group type	I4/mcm, No. 140


no.,electronic total energy (eV for the cell shown)
1,-43.7
2,-21.7
3,-44.6
4,-69.0
5,-77.0
6,-29.3
7,-24.6
8,-124.0